Entry 1:
The following is a DFT calculation (GGA-PBEsol) of a relaxed structure of Cd5Pt3.

Computed properties:
- energy relative to the elements (eV per atom) = -0.22
- distance to the lowest polymorph of the same formula (meV/atom) = 16.1
- calculated density (g/cm3) = 13.14
- calculated total energy (eV per atom) = -3.579

Cell lengths 10.463, 10.463, 5.298 Å; angles 90.00, 90.00, 90.00 degrees
Space group I4/mcm (No. 140)
Asymmetric unit:
Cd  0.000  0.500  0.250
Cd  0.078  0.224  0.000
Pt  0.000  0.000  0.250
Pt  0.166  0.334  0.500

Entry 2:
The following is a DFT calculation (GGA-PBEsol) of a relaxed structure of NbReMo2.

Computed properties:
- energy relative to the elements (eV per atom) = -0.08
- calculated density (g/cm3) = 12.55
- calculated total energy (eV per atom) = -12.005

Cell lengths 6.294, 6.294, 6.294 Å; angles 90.00, 90.00, 90.00 degrees
Space group Fm-3m (No. 225)
Asymmetric unit:
Nb  0.000  0.000  0.000
Re  0.000  0.000  0.500
Mo  0.250  0.250  0.250

Entry 3:
The following is a DFT calculation (GGA-PBEsol) of a relaxed structure of SrTa2Br.

Computed properties:
- distance to the lowest polymorph of the same formula (meV/atom) = 852.7
- calculated density (g/cm3) = 9.19
- formation energy without anion corrections (eV per atom) = 0.917
- calculated total energy (eV per atom) = -6.286

Cell lengths 3.105, 5.502, 5.602 Å; angles 90.00, 90.00, 90.00 degrees
Space group Pmmm (No. 47)
Asymmetric unit:
Sr  0.000  0.000  0.000
Ta  0.500  0.230  0.500
Br  0.000  0.500  0.000

Entry 4:
The following is a DFT calculation (GGA-PBEsol) of a relaxed structure of TeBr.

Computed properties:
- calculated density (g/cm3) = 5.51
- formation energy without anion corrections (eV per atom) = 0.059
- calculated total energy (eV per atom) = -2.639

Cell lengths 3.749, 4.003, 8.327 Å; angles 90.00, 90.00, 90.00 degrees
Space group Pmmn (No. 59, origin choice 2)
Asymmetric unit:
Te  0.250  0.250  0.091
Br  0.250  0.750  0.347

no.,size of the total moment (μB/atom)
1,0.000
2,0.000
3,0.000
4,0.000